1.
# Cr5Re3

A relaxed structure of Cr5Re3 (PBE, Alexandria).

Lattice parameters (Å, degrees): 7.2690 7.2690 4.7609 90.00 90.00 60.00
Sites, in units of the cell vectors:
Cr  0.3333  0.3333  0.0000
Cr  0.0000  0.7740  0.2500
Cr  0.6667  0.6667  0.0000
Cr  0.3333  0.3333  0.5000
Cr  0.7739  0.2261  0.2500
Cr  0.6667  0.6667  0.5000
Cr  0.2261  0.7740  0.7500
Cr  0.0000  0.2260  0.7500
Cr  0.2261  0.0000  0.2500
Cr  0.7740  0.0000  0.7500
Re  0.3981  0.6019  0.2500
Re  0.3981  0.0000  0.7500
Re  0.6020  0.3980  0.7500
Re  0.0000  0.3981  0.2500
Re  0.6020  0.0000  0.2500
Re  0.0000  0.6020  0.7500

Values from the calculation:
- Calculated volume: 13.62 Å³/atom
- Relative energy among the computed polymorphs: 328 meV/atom
- Electronic total energy: -165.1 eV for the cell shown

***

2.
# Cr2Re

A relaxed structure of Cr2Re (PBE, Alexandria).

Lattice parameters (Å, degrees): 2.9400 6.4072 4.1926 90.00 90.00 76.74
Sites, in units of the cell vectors:
Cr  0.3670  0.2660  0.0000
Cr  0.5310  0.9379  0.5000
Cr  0.1886  0.6229  0.5000
Cr  0.0245  0.9510  0.0000
Re  0.6935  0.6129  0.0000
Re  0.8620  0.2760  0.5000

Values from the calculation:
- Calculated volume: 12.81 Å³/atom
- Electronic total energy: -63.3 eV for the cell shown

***

3.
# Cr2Re

A relaxed structure of Cr2Re (PBE, Alexandria).

Lattice parameters (Å, degrees): 4.7995 4.7995 4.7995 106.63 106.63 115.32
Sites, in units of the cell vectors:
Cr  0.3559  0.1441  0.5000
Cr  0.6441  0.8559  0.5000
Cr  0.1441  0.6441  0.7882
Cr  0.8559  0.3559  0.2118
Re  0.2500  0.2500  0.0000
Re  0.7500  0.7500  0.0000

Values from the calculation:
- Calculated volume: 14.07 Å³/atom
- Electronic total energy: -60.0 eV for the cell shown

***

4.
# CrRe2

A relaxed structure of CrRe2 (PBE, Alexandria).

Lattice parameters (Å, degrees): 9.2460 9.2460 4.9803 90.00 90.00 90.00
Sites, in units of the cell vectors:
Re  0.1040  0.1040  0.5000
Re  0.6811  0.6811  0.2492
Re  0.4368  0.7650  0.5000
Re  0.6040  0.3960  0.0000
Re  0.7650  0.4368  0.5000
Re  0.5632  0.2350  0.5000
Re  0.1811  0.8189  0.2508
Re  0.2650  0.0632  0.0000
Re  0.3189  0.3189  0.7508
Re  0.6811  0.6811  0.7508
Re  0.8960  0.8960  0.5000
Re  0.1811  0.8189  0.7492
Re  0.3189  0.3189  0.2492
Re  0.9368  0.7350  0.0000
Re  0.8189  0.1811  0.2508
Re  0.8189  0.1811  0.7492
Re  0.0632  0.2650  0.0000
Re  0.2350  0.5632  0.5000
Re  0.3960  0.6040  0.0000
Re  0.7350  0.9368  0.0000
Cr  0.6271  0.9650  0.5000
Cr  0.4650  0.8729  0.0000
Cr  0.8729  0.4650  0.0000
Cr  0.5350  0.1271  0.0000
Cr  0.1271  0.5350  0.0000
Cr  0.0000  0.0000  0.0000
Cr  0.9650  0.6271  0.5000
Cr  0.5000  0.5000  0.5000
Cr  0.3729  0.0350  0.5000
Cr  0.0350  0.3729  0.5000

Values from the calculation:
- Calculated volume: 14.19 Å³/atom
- Electronic total energy: -342.5 eV for the cell shown

***

5.
# Cr2Re

A relaxed structure of Cr2Re (PBE, Alexandria).

Lattice parameters (Å, degrees): 5.0575 4.1553 7.3910 90.00 90.00 90.00
Sites, in units of the cell vectors:
Cr  0.5079  0.2500  0.2459
Cr  0.1639  0.2500  0.5746
Cr  0.9921  0.7500  0.7459
Cr  0.0079  0.2500  0.2541
Cr  0.3361  0.7500  0.0746
Cr  0.4921  0.7500  0.7541
Cr  0.6639  0.2500  0.9254
Cr  0.8361  0.7500  0.4254
Re  0.1674  0.2500  0.9188
Re  0.3326  0.7500  0.4188
Re  0.8326  0.7500  0.0812
Re  0.6674  0.2500  0.5812

Values from the calculation:
- Calculated volume: 12.94 Å³/atom
- Electronic total energy: -125.5 eV for the cell shown

***

6.
# CrRe

A relaxed structure of CrRe (PBE, Alexandria).

Lattice parameters (Å, degrees): 3.7571 5.1660 3.7571 90.00 120.00 90.00
Sites, in units of the cell vectors:
Re  0.0000  0.0000  0.0000
Re  0.0000  0.5000  0.0000
Cr  0.6667  0.2500  0.3333
Cr  0.3333  0.7500  0.6667

Values from the calculation:
- Calculated volume: 15.79 Å³/atom
- Electronic total energy: -40.4 eV for the cell shown

***

no.,E_form (eV/atom),density (g/cm3)
1,0.3666,12.5
2,0.0216,12.5
3,0.5622,11.4
4,0.0900,16.6
5,0.1036,12.4
6,0.9450,12.5